Record 1
This record from Alexandria via LeMat-Bulk describes crystalline LiY2Pt at its relaxed geometry. The functional is PBEsol.

## Properties
- Symmetry: No. 38
- Polymorph energy (0 for the lowest one): 0.078 eV per atom
- Energy of formation from the pure elements: -0.570 eV per atom

Unit cell a=3.774 b=4.476 c=5.573 alpha=90.00 beta=109.79 gamma=90.00
Element x y z (fractional)
Y 0.110 0.000 0.221
Y 0.391 0.500 0.783
Pt 0.680 0.500 0.360
Li 0.820 0.000 0.639

Record 2
This record from Alexandria via LeMat-Bulk describes crystalline LiYPt4 at its relaxed geometry. The functional is PBEsol.

## Properties
- Symmetry: No. 216
- Energy of formation from the pure elements: -0.847 eV per atom

Unit cell a=5.278 b=5.278 c=5.278 alpha=60.00 beta=60.00 gamma=60.00
Element x y z (fractional)
Y 0.750 0.750 0.750
Pt 0.375 0.375 0.375
Pt 0.375 0.375 0.876
Pt 0.876 0.375 0.375
Pt 0.375 0.876 0.375
Li 0.000 0.000 0.000

Record 3
This record from Alexandria via LeMat-Bulk describes crystalline LiY2Pt at its relaxed geometry. The functional is PBEsol.

## Properties
- Symmetry: No. 123
- Polymorph energy (0 for the lowest one): 0.036 eV per atom
- Energy of formation from the pure elements: -0.612 eV per atom

Unit cell a=3.629 b=4.818 c=4.818 alpha=90.00 beta=90.00 gamma=90.00
Element x y z (fractional)
Y 0.000 0.000 0.500
Y 0.000 0.500 0.000
Pt 0.500 0.500 0.500
Li 0.500 0.000 0.000

Record 4
This record from Alexandria via LeMat-Bulk describes crystalline LiYPt at its relaxed geometry. The functional is PBEsol.

## Properties
- Symmetry: No. 187
- Energy of formation from the pure elements: -0.692 eV per atom

Unit cell a=3.669 b=4.214 c=4.214 alpha=120.00 beta=90.00 gamma=90.00
Element x y z (fractional)
Y 0.500 0.667 0.333
Pt 0.000 0.333 0.667
Li 0.000 0.000 0.000

Record 5
This record from Alexandria via LeMat-Bulk describes crystalline LiZnPt at its relaxed geometry. The functional is PBEsol.

## Properties
- Symmetry: No. 156
- Polymorph energy (0 for the lowest one): 0.012 eV per atom
- Energy of formation from the pure elements: -0.523 eV per atom

Unit cell a=2.711 b=4.104 c=4.104 alpha=120.00 beta=90.00 gamma=90.00
Element x y z (fractional)
Zn 0.251 0.667 0.333
Pt 0.682 0.333 0.667
Li 0.067 0.000 0.000

Record 6
This record from Alexandria via LeMat-Bulk describes crystalline LiZnPt4 at its relaxed geometry. The functional is PBEsol.

## Properties
- Symmetry: No. 216
- Energy of formation from the pure elements: -0.181 eV per atom

Unit cell a=5.186 b=5.186 c=5.186 alpha=60.00 beta=60.00 gamma=60.00
Element x y z (fractional)
Li 0.000 0.000 0.000
Pt 0.375 0.375 0.375
Pt 0.375 0.375 0.875
Pt 0.875 0.375 0.375
Pt 0.375 0.875 0.375
Zn 0.750 0.750 0.750

Record 7
This record from Alexandria via LeMat-Bulk describes crystalline LiZnPt at its relaxed geometry. The functional is PBEsol.

## Properties
- Symmetry: No. 107
- Polymorph energy (0 for the lowest one): 0.069 eV per atom
- Energy of formation from the pure elements: -0.466 eV per atom

Unit cell a=3.023 b=3.023 c=4.783 alpha=108.42 beta=108.42 gamma=90.00
Element x y z (fractional)
Zn 0.336 0.336 0.672
Pt 0.663 0.663 0.325
Li 0.001 0.001 0.003

Record 8
This record from Alexandria via LeMat-Bulk describes crystalline LiZnPt at its relaxed geometry. The functional is PBEsol.

## Properties
- Symmetry: No. 156
- Polymorph energy (0 for the lowest one): 0.188 eV per atom
- Energy of formation from the pure elements: -0.347 eV per atom

Unit cell a=2.727 b=2.727 c=6.557 alpha=90.00 beta=90.00 gamma=120.00
Element x y z (fractional)
Li 0.000 0.000 0.991
Pt 0.333 0.667 0.673
Zn 0.667 0.333 0.336

Record 9
This record from Alexandria via LeMat-Bulk describes crystalline LiZnPt at its relaxed geometry. The functional is PBEsol.

## Properties
- Symmetry: No. 44
- Polymorph energy (0 for the lowest one): 0.000 eV per atom
- Energy of formation from the pure elements: -0.535 eV per atom

Unit cell a=2.758 b=3.764 c=4.538 alpha=114.51 beta=107.69 gamma=90.00
Element x y z (fractional)
Zn 0.328 0.328 0.656
Pt 0.669 0.669 0.339
Li 0.003 0.003 0.006

Record 10
This record from Alexandria via LeMat-Bulk describes crystalline Li3ZnPt at its relaxed geometry. The functional is PBEsol.

## Properties
- Symmetry: No. 221
- Energy of formation from the pure elements: 0.120 eV per atom

Unit cell a=4.662 b=4.662 c=4.662 alpha=90.00 beta=90.00 gamma=90.00
Element x y z (fractional)
Zn 0.500 0.500 0.500
Pt 0.000 0.000 0.000
Li 0.000 0.500 0.000
Li 0.000 0.000 0.500
Li 0.500 0.000 0.000

Record 11
This record from Alexandria via LeMat-Bulk describes crystalline LiZrPt2 at its relaxed geometry. The functional is PBEsol.

## Properties
- Symmetry: No. 139
- Polymorph energy (0 for the lowest one): 0.000 eV per atom
- Energy of formation from the pure elements: -0.882 eV per atom

Unit cell a=4.088 b=4.088 c=4.716 alpha=115.69 beta=115.69 gamma=90.00
Element x y z (fractional)
Li 0.500 0.000 0.000
Zr 0.000 0.500 0.000
Pt 0.750 0.750 0.500
Pt 0.250 0.250 0.500

Record 12
This record from Alexandria via LeMat-Bulk describes crystalline LiZrPt2 at its relaxed geometry. The functional is PBEsol.

## Properties
- Symmetry: No. 139
- Polymorph energy (0 for the lowest one): 0.013 eV per atom
- Energy of formation from the pure elements: -0.869 eV per atom

Unit cell a=4.398 b=4.398 c=4.398 alpha=82.70 beta=64.12 gamma=115.88
Element x y z (fractional)
Pt 0.500 0.250 0.250
Pt 0.500 0.750 0.750
Zr 0.000 0.000 0.000
Li 0.000 0.500 0.500

Record 13
This record from Alexandria via LeMat-Bulk describes crystalline LiZrPt at its relaxed geometry. The functional is PBEsol.

## Properties
- Symmetry: No. 44
- Polymorph energy (0 for the lowest one): 0.000 eV per atom
- Energy of formation from the pure elements: -0.537 eV per atom

Unit cell a=2.930 b=3.860 c=4.928 alpha=113.05 beta=107.29 gamma=90.00
Element x y z (fractional)
Li 0.015 0.015 0.029
Pt 0.658 0.658 0.315
Zr 0.328 0.328 0.655

Record 14
This record from Alexandria via LeMat-Bulk describes crystalline LiZr2Pt at its relaxed geometry. The functional is PBEsol.

## Properties
- Symmetry: No. 119
- Energy of formation from the pure elements: -0.342 eV per atom

Unit cell a=3.941 b=3.941 c=5.342 alpha=111.65 beta=111.65 gamma=90.00
Element x y z (fractional)
Li 0.500 0.500 0.000
Pt 0.250 0.750 0.500
Zr 0.000 0.000 0.000
Zr 0.750 0.250 0.500

Record 15
This record from Alexandria via LeMat-Bulk describes crystalline LiZrPt2 at its relaxed geometry. The functional is PBEsol.

## Properties
- Symmetry: No. 99
- Polymorph energy (0 for the lowest one): 0.287 eV per atom
- Energy of formation from the pure elements: -0.595 eV per atom

Unit cell a=3.491 b=3.491 c=5.348 alpha=90.00 beta=90.00 gamma=90.00
Element x y z (fractional)
Li 0.500 0.500 0.792
Pt 0.000 0.000 0.962
Pt 0.500 0.500 0.267
Zr 0.000 0.000 0.479

Record 16
This record from Alexandria via LeMat-Bulk describes crystalline LiZrPt at its relaxed geometry. The functional is PBEsol.

## Properties
- Symmetry: No. 216
- Polymorph energy (0 for the lowest one): 0.146 eV per atom
- Energy of formation from the pure elements: -0.391 eV per atom

Unit cell a=4.365 b=4.365 c=4.365 alpha=60.00 beta=60.00 gamma=60.00
Element x y z (fractional)
Li 0.500 0.500 0.500
Pt 0.250 0.250 0.250
Zr 0.000 0.000 0.000

Record 17
This record from Alexandria via LeMat-Bulk describes crystalline Li2ZrPt at its relaxed geometry. The functional is PBEsol.

## Properties
- Symmetry: No. 99
- Polymorph energy (0 for the lowest one): 0.076 eV per atom
- Energy of formation from the pure elements: -0.351 eV per atom

Unit cell a=3.394 b=3.391 c=6.291 alpha=90.00 beta=90.04 gamma=90.00
Element x y z (fractional)
Li 0.000 0.000 0.048
Li 0.500 0.500 0.249
Pt 0.000 0.000 0.506
Zr 0.500 0.500 0.697

Record 18
This record from Alexandria via LeMat-Bulk describes crystalline LiZrPt2 at its relaxed geometry. The functional is PBEsol.

## Properties
- Symmetry: No. 65
- Polymorph energy (0 for the lowest one): 0.087 eV per atom
- Energy of formation from the pure elements: -0.795 eV per atom

Unit cell a=3.474 b=4.282 c=4.282 alpha=95.67 beta=90.00 gamma=90.00
Element x y z (fractional)
Pt 0.000 0.000 0.500
Pt 0.000 0.500 0.000
Zr 0.500 0.500 0.500
Li 0.500 0.000 0.000

Record 19
This record from Alexandria via LeMat-Bulk describes crystalline LiZrPt2 at its relaxed geometry. The functional is PBEsol.

## Properties
- Symmetry: No. 99
- Polymorph energy (0 for the lowest one): 0.609 eV per atom
- Energy of formation from the pure elements: -0.273 eV per atom

Unit cell a=2.831 b=2.831 c=8.044 alpha=90.00 beta=90.00 gamma=90.00
Element x y z (fractional)
Li 0.500 0.500 0.792
Pt 0.000 0.000 0.987
Pt 0.500 0.500 0.235
Zr 0.000 0.000 0.486

Record 20
This record from Alexandria via LeMat-Bulk describes crystalline LiZr2Pt at its relaxed geometry. The functional is PBEsol.

## Properties
- Symmetry: No. 166
- Energy of formation from the pure elements: -0.107 eV per atom

Unit cell a=3.003 b=3.003 c=10.105 alpha=81.45 beta=81.45 gamma=60.00
Element x y z (fractional)
Li 0.500 0.500 0.500
Pt 0.000 0.000 0.000
Zr 0.257 0.257 0.228
Zr 0.743 0.743 0.772